# 1
Computed, not measured: a relaxed structure of Tb2GdCu4Sn4 at the PBE-GGA level of DFT.

```
data_Tb2GdCu4Sn4
_space_group_name_H-M_alt 'I m m m'
_space_group_IT_number 71
_space_group_name_Hall '-I 2 2'
_cell_length_a 4.4794
_cell_length_b 6.9609
_cell_length_c 14.7726
_cell_angle_alpha 90.00
_cell_angle_beta 90.00
_cell_angle_gamma 90.00
loop_
_atom_site_label
_atom_site_fract_x
_atom_site_fract_y
_atom_site_fract_z
Tb1 0.0000 0.0000 0.1314
Gd1 0.0000 0.5000 0.0000
Cu1 0.0000 0.1876 0.3298
Sn1 0.0000 0.2980 0.5000
Sn2 0.0000 0.5000 0.2164
```

---

# 2
Computed, not measured: a relaxed structure of RbTlZnSn at the PBE-GGA level of DFT.

```
data_RbTlZnSn
_space_group_name_H-M_alt 'A m m 2'
_space_group_IT_number 38
_cell_length_a 5.6394
_cell_length_b 12.6488
_cell_length_c 7.7360
_cell_angle_alpha 90.00
_cell_angle_beta 90.00
_cell_angle_gamma 90.00
loop_
_space_group_symop_operation_xyz
'x,y,z'
'-x,-y,z'
'-x,y,z'
'x,-y,z'
'x,y+1/2,z+1/2'
'-x,-y+1/2,z+1/2'
'-x,y+1/2,z+1/2'
'x,-y+1/2,z+1/2'
loop_
_atom_site_label
_atom_site_fract_x
_atom_site_fract_y
_atom_site_fract_z
Rb1 0.0000 0.1934 0.0000
Tl1 0.5000 0.1369 0.3163
Zn1 0.2435 0.0000 0.6658
Sn1 0.0000 0.0000 0.3652
Sn2 0.5000 0.0000 0.9517
```

---

# 3
Computed, not measured: a relaxed structure of TbYGa4 at the PBE-GGA level of DFT.

```
data_TbYGa4
_space_group_name_H-M_alt 'I m m m'
_space_group_IT_number 71
_space_group_name_Hall '-I 2 2'
_cell_length_a 4.2162
_cell_length_b 7.3005
_cell_length_c 8.1952
_cell_angle_alpha 90.00
_cell_angle_beta 90.00
_cell_angle_gamma 90.00
loop_
_atom_site_label
_atom_site_fract_x
_atom_site_fract_y
_atom_site_fract_z
Tb1 0.0000 0.0000 0.0000
Y1 0.0000 0.0000 0.5000
Ga1 0.0000 0.3333 0.2513
```

---

# 4
Computed, not measured: a relaxed structure of BeGaTcMo at the PBE-GGA level of DFT.

```
data_BeGaTcMo
_space_group_name_H-M_alt 'F -4 3 m'
_space_group_IT_number 216
_space_group_name_Hall 'F -4 2 3'
_cell_length_a 5.9746
_cell_length_b 5.9746
_cell_length_c 5.9746
_cell_angle_alpha 90.00
_cell_angle_beta 90.00
_cell_angle_gamma 90.00
loop_
_atom_site_label
_atom_site_fract_x
_atom_site_fract_y
_atom_site_fract_z
Be1 0.0000 0.0000 0.0000
Ga1 0.0000 0.0000 0.5000
Tc1 0.2500 0.2500 0.2500
Mo1 0.2500 0.2500 0.7500
```

---

# 5
Computed, not measured: a relaxed structure of Nd15Ge9C at the PBE-GGA level of DFT.

```
data_Nd15Ge9C
_space_group_name_H-M_alt 'P 63 m c'
_space_group_IT_number 186
_space_group_name_Hall 'P 6c -2c'
_cell_length_a 15.2604
_cell_length_b 15.2604
_cell_length_c 6.8246
_cell_angle_alpha 90.00
_cell_angle_beta 90.00
_cell_angle_gamma 120.00
loop_
_atom_site_label
_atom_site_fract_x
_atom_site_fract_y
_atom_site_fract_z
Nd1 0.0201 0.3434 0.2722
Nd2 0.0809 0.1618 0.0000
Nd3 0.1752 0.5876 0.9981
Nd4 0.2547 0.5095 0.5603
Ge1 0.0659 0.5329 0.5378
Ge2 0.1320 0.2640 0.5499
Ge3 0.1987 0.3974 0.9815
C1 0.3333 0.6667 0.7755
```

---

# 6
Computed, not measured: a relaxed structure of NaTaInIr at the PBE-GGA level of DFT.

```
data_NaTaInIr
_space_group_name_H-M_alt 'F -4 3 m'
_space_group_IT_number 216
_space_group_name_Hall 'F -4 2 3'
_cell_length_a 6.5951
_cell_length_b 6.5951
_cell_length_c 6.5951
_cell_angle_alpha 90.00
_cell_angle_beta 90.00
_cell_angle_gamma 90.00
loop_
_atom_site_label
_atom_site_fract_x
_atom_site_fract_y
_atom_site_fract_z
Na1 0.0000 0.0000 0.0000
Ta1 0.0000 0.0000 0.5000
In1 0.2500 0.2500 0.2500
Ir1 0.2500 0.2500 0.7500
```

---

| no. | DFT total energy (eV per cell) | theoretical density (Mg/m³) |
| --- | --- | --- |
| 1 | -101.14 | 8.68 |
| 2 | -34.88 | 5.71 |
| 3 | -54.35 | 6.93 |
| 4 | -109.52 | 8.49 |
| 5 | -279.69 | 6.83 |
| 6 | -95.54 | 11.83 |